1.
VASP calculation (PBE) on CsRePt2 after structural relaxation.

extended XYZ file:
```
4
Lattice="-4.894 -0.255 0.518 -2.897 -0.113 -3.985 -2.392 -4.141 -1.191" Properties=species:S:1:pos:R:3 pbc="T T T"
Re -5.092 -2.254 -2.329
Cs 0.000 0.000 0.000
Pt -7.638 -3.382 -3.494
Pt -2.546 -1.127 -1.165
```

Values from the calculation:
DOS(E_F), states/eV per cell: 1.7
Crystal system: cubic
Energy, Ry per atom: -0.359
Formation energy, eV/atom: 1.46

---

2.
VASP calculation (PBE) on CsRePt after structural relaxation.

extended XYZ file:
```
6
Lattice="-11.528 -2.818 -4.578 0.134 -3.787 2.024 -2.116 -0.534 3.700" Properties=species:S:1:pos:R:3 pbc="T T T"
Cs -4.641 -3.307 -0.262
Pt -10.231 -3.927 -1.053
Re -8.450 -2.072 -2.261
Cs -11.492 -3.196 -4.163
Pt -8.020 -3.110 0.329
Re -9.801 -4.964 1.537
```

Values from the calculation:
DOS(E_F), states/eV per cell: 5.9
Crystal system: triclinic
Energy, Ry per atom: -0.456
Formation energy, eV/atom: 0.25

---

3.
VASP calculation (PBE) on CsRePt3 after structural relaxation.

extended XYZ file:
```
5
Lattice="-4.328 -1.850 -1.668 -0.357 -2.849 4.086 -2.465 3.660 2.337" Properties=species:S:1:pos:R:3 pbc="T T T"
Pt -1.233 1.830 1.168
Pt -2.164 -0.925 -0.834
Re 0.000 0.000 0.000
Cs -3.575 -0.519 2.377
Pt -0.179 -1.424 2.043
```

Values from the calculation:
DOS(E_F), states/eV per cell: 5.9
Crystal system: cubic
Energy, Ry per atom: -0.405
Formation energy, eV/atom: 0.77

---

4.
VASP calculation (PBE) on CsRePt after structural relaxation.

extended XYZ file:
```
6
Lattice="12.740 -0.057 0.038 -0.687 4.241 0.000 0.707 -2.062 3.702" Properties=species:S:1:pos:R:3 pbc="T T T"
Cs 4.883 1.766 2.019
Re 8.569 2.358 1.654
Cs 12.255 2.950 1.289
Re 9.034 0.257 2.888
Pt 7.451 0.001 0.554
Pt 10.132 0.435 0.285
```

Values from the calculation:
DOS(E_F), states/eV per cell: 3.5
Crystal system: triclinic
Energy, Ry per atom: -0.456
Formation energy, eV/atom: 0.25

---

5.
VASP calculation (PBE) on CsRePt after structural relaxation.

extended XYZ file:
```
6
Lattice="-5.515 0.625 -8.932 2.546 -2.566 -0.970 -3.291 -3.458 0.504" Properties=species:S:1:pos:R:3 pbc="T T T"
Re -4.572 -1.062 -6.124
Pt -2.135 -1.681 -5.313
Re -4.362 -3.461 -6.447
Cs -2.111 -5.003 -3.696
Cs -0.896 -2.341 -0.299
Pt -2.899 -1.367 -8.146
```

Values from the calculation:
DOS(E_F), states/eV per cell: 3.7
Crystal system: monoclinic
Energy, Ry per atom: -0.441
Formation energy, eV/atom: 0.44

---

6.
VASP calculation (PBE) on CsRePt after structural relaxation.

extended XYZ file:
```
6
Lattice="-4.648 -2.367 -5.253 1.904 -2.031 -5.165 2.177 -3.599 4.090" Properties=species:S:1:pos:R:3 pbc="T T T"
Re 2.619 -3.841 0.411
Pt 2.365 -5.351 -3.412
Cs -0.654 -2.567 -1.132
Pt 0.150 -6.897 -3.727
Cs -1.851 -2.757 -4.685
Re -2.012 -5.775 -7.047
```

Values from the calculation:
DOS(E_F), states/eV per cell: 5.4
Crystal system: monoclinic
Energy, Ry per atom: -0.413
Formation energy, eV/atom: 0.83

---

7.
VASP calculation (PBE) on CsRePt3 after structural relaxation.

extended XYZ file:
```
5
Lattice="5.155 0.000 0.000 0.000 5.155 0.000 0.000 0.000 5.155" Properties=species:S:1:pos:R:3 pbc="T T T"
Re 2.578 2.578 2.578
Cs 0.000 0.000 0.000
Pt 0.000 0.000 2.578
Pt 2.578 0.000 0.000
Pt 0.000 2.578 0.000
```

Values from the calculation:
DOS(E_F), states/eV per cell: 9.0
Crystal system: cubic
Energy, Ry per atom: -0.247
Formation energy, eV/atom: 2.92

---

8.
VASP calculation (PBE) on CsRePt after structural relaxation.

extended XYZ file:
```
12
Lattice="8.913 0.000 0.000 0.000 3.831 0.000 0.000 0.000 11.380" Properties=species:S:1:pos:R:3 pbc="T T T"
Pt 1.857 0.958 4.653
Re 0.705 2.873 5.921
Pt 6.314 0.958 1.037
Cs 3.935 0.958 7.655
Re 3.752 0.958 0.231
Pt 7.056 2.873 6.727
Cs 8.391 0.958 9.414
Pt 2.600 2.873 10.342
Cs 4.979 2.873 3.725
Re 5.161 2.873 11.149
Cs 0.522 2.873 1.965
Re 8.209 0.958 5.459
```

Values from the calculation:
DOS(E_F), states/eV per cell: 5.6
Crystal system: orthorhombic
Energy, Ry per atom: -0.422
Formation energy, eV/atom: 0.71

---

Which of these has the lowest DOS(E_F)?
CsRePt2